DFT (PBE-GGA) results for crystalline Ac7Sm2Dy2 at its relaxed geometry.

Values from the calculation:
**Crystal system**: monoclinic
**Magnetic moment**: 0.000 μB per formula unit
**Symmetry**: No. 12
**DOS at the Fermi energy**: 18.4 states/eV/cell
**Energy of formation**: 0.254 eV per atom

a = 8.4883 Å, b = 8.4883 Å, c = 6.7229 Å
α = 95.68°, β = 95.68°, γ = 77.08°
Positions (direct):
1 Ac 0.0000 0.0000 0.0000
2 Ac 0.0871 0.4333 0.2487
3 Ac 0.4333 0.0871 0.2487
4 Ac 0.4520 0.4520 0.7384
5 Ac 0.5480 0.5480 0.2616
6 Ac 0.5667 0.9129 0.7513
7 Ac 0.9129 0.5667 0.7513
8 Sm 0.2017 0.2017 0.7106
9 Sm 0.7983 0.7983 0.2894
10 Dy 0.1735 0.8265 0.5000
11 Dy 0.8265 0.1735 0.5000